(1)
# Ac4Cu3PdO12 (PBE-GGA, relaxed)
data_Ac4Cu3PdO12
_symmetry_space_group_name_H-M 'I m -3 m'
_symmetry_Int_Tables_number 229
_symmetry_space_group_name_Hall '-I 4 2 3'
_cell_length_a 7.957
_cell_length_b 7.957
_cell_length_c 7.957
_cell_angle_alpha 90.00
_cell_angle_beta 90.00
_cell_angle_gamma 90.00
loop_
_atom_site_label
_atom_site_fract_x
_atom_site_fract_y
_atom_site_fract_z
_atom_site_occupancy
Ac1 0.250 0.250 0.250 1
Cu1 0.000 0.000 0.500 1
Pd1 0.000 0.000 0.000 1
O1 0.000 0.000 0.255 1
O2 0.000 0.250 0.500 1
# Magnetic moment   0.00 μB per formula unit
# Calculated total energy   -6.6361 eV/atom


(2)
# AcCu2PdO4 (PBE-GGA, relaxed)
data_AcCu2PdO4
_symmetry_space_group_name_H-M 'I -4 2 m'
_symmetry_Int_Tables_number 121
_symmetry_space_group_name_Hall 'I -4 2'
_cell_length_a 5.587
_cell_length_b 5.587
_cell_length_c 6.814
_cell_angle_alpha 90.00
_cell_angle_beta 90.00
_cell_angle_gamma 90.00
loop_
_atom_site_label
_atom_site_fract_x
_atom_site_fract_y
_atom_site_fract_z
_atom_site_occupancy
Ac1 0.000 0.000 0.000 1
Cu1 0.000 0.500 0.250 1
Pd1 0.000 0.000 0.500 1
O1 0.227 0.227 0.277 1
# Magnetic moment   0.57 μB per formula unit
# Calculated total energy   -5.8321 eV/atom


(3)
# Ac4CuPd3O12 (PBE-GGA, relaxed)
data_Ac4CuPd3O12
_symmetry_space_group_name_H-M 'I m -3 m'
_symmetry_Int_Tables_number 229
_symmetry_space_group_name_Hall '-I 4 2 3'
_cell_length_a 8.105
_cell_length_b 8.105
_cell_length_c 8.105
_cell_angle_alpha 90.00
_cell_angle_beta 90.00
_cell_angle_gamma 90.00
loop_
_atom_site_label
_atom_site_fract_x
_atom_site_fract_y
_atom_site_fract_z
_atom_site_occupancy
Ac1 0.250 0.250 0.250 1
Cu1 0.000 0.000 0.000 1
Pd1 0.000 0.000 0.500 1
O1 0.000 0.000 0.247 1
O2 0.000 0.250 0.500 1
# Magnetic moment   0.00 μB per formula unit
# Calculated total energy   -6.6544 eV/atom


(4)
# Ac2CuPdO6 (PBE-GGA, relaxed)
data_Ac2CuPdO6
_symmetry_space_group_name_H-M 'P 1 21/c 1'
_symmetry_Int_Tables_number 14
_cell_length_a 5.758
_cell_length_b 5.714
_cell_length_c 9.891
_cell_angle_alpha 90.00
_cell_angle_beta 125.55
_cell_angle_gamma 90.00
loop_
_symmetry_equiv_pos_as_xyz
'x,y,z'
'-x,-y,-z'
'-x,y+1/2,-z+1/2'
'x,-y+1/2,z+1/2'
loop_
_atom_site_label
_atom_site_fract_x
_atom_site_fract_y
_atom_site_fract_z
_atom_site_occupancy
Ac1 0.244 0.031 0.250 1
Cu1 0.000 0.000 0.500 1
Pd1 0.500 0.000 0.000 1
O1 0.182 0.221 0.963 1
O2 0.240 0.720 0.963 1
O3 0.317 0.010 0.748 1
# Magnetic moment   0.97 μB per formula unit
# Calculated total energy   -6.6930 eV/atom


(5)
# Ac3CuPd2O8 (PBE-GGA, relaxed)
data_Ac3CuPd2O8
_symmetry_space_group_name_H-M 'P -3 m 1'
_symmetry_Int_Tables_number 164
_symmetry_space_group_name_Hall '-P 3 2"'
_cell_length_a 5.4758
_cell_length_b 5.4758
_cell_length_c 7.9211
_cell_angle_alpha 90.00
_cell_angle_beta 90.00
_cell_angle_gamma 120.00
loop_
_atom_site_label
_atom_site_fract_x
_atom_site_fract_y
_atom_site_fract_z
_atom_site_occupancy
Ac1 0.0000 0.0000 0.0000 1
Ac2 0.3333 0.6667 0.6248 1
Cu1 0.0000 0.0000 0.5000 1
Pd1 0.3333 0.6667 0.1730 1
O1 0.1651 0.3301 0.3450 1
O2 0.3333 0.6667 0.9246 1
# Magnetic moment   0.00 μB per formula unit
# Calculated total energy   -6.4443 eV/atom


(6)
# Ac2CuPd2O6 (PBE-GGA, relaxed)
data_Ac2CuPd2O6
_symmetry_space_group_name_H-M 'R -3 m'
_symmetry_Int_Tables_number 166
_symmetry_space_group_name_Hall '-R 3 2"'
_cell_length_a 6.0618
_cell_length_b 6.0618
_cell_length_c 15.6574
_cell_angle_alpha 90.00
_cell_angle_beta 90.00
_cell_angle_gamma 120.00
loop_
_atom_site_label
_atom_site_fract_x
_atom_site_fract_y
_atom_site_fract_z
_atom_site_occupancy
Ac1 0.0000 0.0000 0.2173 1
Cu1 0.0000 0.0000 0.0000 1
Pd1 0.0000 0.0000 0.4121 1
O1 0.0500 0.5250 0.7553 1
# Magnetic moment   0.00 μB per formula unit
# Calculated total energy   -6.1275 eV/atom


Q: Among the records above, which one has the lowest calculated total energy?
A: Ac2CuPdO6


What did the sixth record say?
# Ac2CuPd2O6 (PBE-GGA, relaxed)
data_Ac2CuPd2O6
_symmetry_space_group_name_H-M 'R -3 m'
_symmetry_Int_Tables_number 166
_symmetry_space_group_name_Hall '-R 3 2"'
_cell_length_a 6.0618
_cell_length_b 6.0618
_cell_length_c 15.6574
_cell_angle_alpha 90.00
_cell_angle_beta 90.00
_cell_angle_gamma 120.00
loop_
_atom_site_label
_atom_site_fract_x
_atom_site_fract_y
_atom_site_fract_z
_atom_site_occupancy
Ac1 0.0000 0.0000 0.2173 1
Cu1 0.0000 0.0000 0.0000 1
Pd1 0.0000 0.0000 0.4121 1
O1 0.0500 0.5250 0.7553 1
# Magnetic moment   0.00 μB per formula unit
# Calculated total energy   -6.1275 eV/atom


What did the sixth record say?
# Ac2CuPd2O6 (PBE-GGA, relaxed)
data_Ac2CuPd2O6
_symmetry_space_group_name_H-M 'R -3 m'
_symmetry_Int_Tables_number 166
_symmetry_space_group_name_Hall '-R 3 2"'
_cell_length_a 6.0618
_cell_length_b 6.0618
_cell_length_c 15.6574
_cell_angle_alpha 90.00
_cell_angle_beta 90.00
_cell_angle_gamma 120.00
loop_
_atom_site_label
_atom_site_fract_x
_atom_site_fract_y
_atom_site_fract_z
_atom_site_occupancy
Ac1 0.0000 0.0000 0.2173 1
Cu1 0.0000 0.0000 0.0000 1
Pd1 0.0000 0.0000 0.4121 1
O1 0.0500 0.5250 0.7553 1
# Magnetic moment   0.00 μB per formula unit
# Calculated total energy   -6.1275 eV/atom